# 1
A plane-wave DFT calculation with SCAN was carried out for Tm2In8Co at its PBEsol-relaxed geometry.

The structure in CIF format:
```
data_Tm2In8Co
_chemical_formula_sum 'Tm2 In8 Co1'
_space_group_name_H-M_alt 'P 1'
_space_group_IT_number 1
_space_group_name_Hall 'P 1'
_cell_length_a 4.491
_cell_length_b 4.491
_cell_length_c 11.883
_cell_angle_alpha 90.00
_cell_angle_beta 90.00
_cell_angle_gamma 90.00
loop_
_atom_site_label
_atom_site_fract_x
_atom_site_fract_y
_atom_site_fract_z
Tm1 0.000 0.000 0.193
Tm2 0.000 0.000 0.807
In1 0.000 0.500 0.000
In2 0.000 0.500 0.380
In3 0.000 0.500 0.620
In4 0.500 0.000 0.000
In5 0.500 0.000 0.380
In6 0.500 0.000 0.620
In7 0.500 0.500 0.192
In8 0.500 0.500 0.808
Co1 0.000 0.000 0.500
```

Its electronic total energy is -391.89 eV for the cell shown. The total magnetization comes out at 0.000 Bohr magnetons per cell. As for the energy relative to the elements: -0.348 eV/atom. For the density of states at the Fermi level, the calculation gives 4.08 states/eV per cell. The calculated volume comes out at 239.6 Å³/f.u.


# 2
A plane-wave DFT calculation with SCAN was carried out for GaTeAsN2 at its PBEsol-relaxed geometry.

The structure in CIF format:
```
data_GaTeAsN2
_chemical_formula_sum 'Ga1 Te1 As1 N2'
_space_group_name_H-M_alt 'P 1'
_space_group_IT_number 1
_space_group_name_Hall 'P 1'
_cell_length_a 3.773
_cell_length_b 3.773
_cell_length_c 6.246
_cell_angle_alpha 90.00
_cell_angle_beta 90.00
_cell_angle_gamma 90.00
loop_
_atom_site_label
_atom_site_fract_x
_atom_site_fract_y
_atom_site_fract_z
Ga1 0.000 0.000 0.000
Te1 0.500 0.500 0.000
As1 0.500 0.500 0.500
N1 0.000 0.500 0.500
N2 0.500 0.000 0.500
```

Its electronic total energy is -86.51 eV for the cell shown. The total magnetization comes out at 1.143 Bohr magnetons per cell. For the density of states at the Fermi level, the calculation gives 0.94 states/eV per cell. The calculated volume comes out at 88.9 Å³/f.u.


# 3
A plane-wave DFT calculation with SCAN was carried out for NaFe2BiP at its PBEsol-relaxed geometry.

The structure in CIF format:
```
data_NaFe2BiP
_chemical_formula_sum 'Na1 Fe2 Bi1 P1'
_space_group_name_H-M_alt 'P 1'
_space_group_IT_number 1
_space_group_name_Hall 'P 1'
_cell_length_a 4.300
_cell_length_b 4.300
_cell_length_c 5.530
_cell_angle_alpha 90.00
_cell_angle_beta 90.00
_cell_angle_gamma 90.00
loop_
_atom_site_label
_atom_site_fract_x
_atom_site_fract_y
_atom_site_fract_z
Na1 0.000 0.000 0.000
Fe1 0.000 0.500 0.500
Fe2 0.500 0.000 0.500
Bi1 0.500 0.500 0.000
P1 0.500 0.500 0.500
```

Its electronic total energy is -127.36 eV for the cell shown. The total magnetization comes out at 5.426 Bohr magnetons per cell. As for the energy relative to the elements: 0.418 eV/atom. For the density of states at the Fermi level, the calculation gives 3.99 states/eV per cell. The calculated volume comes out at 102.2 Å³/f.u.